(1)
Density functional theory data (SCAN) for Y3Cd at its PBEsol-relaxed geometry.

a b c (Å): 6.8175 6.8733 9.4600
angles (deg): 90.00 90.00 90.00
Closest atoms and distances in Å follow each position.
Fractional positions:
Y  0.5694  0.5000  0.2500  1 Cd 2.96
Y  0.4306  0.5000  0.7500  1 Cd 2.96
Y  0.0694  0.0000  0.7500  1 Cd 2.96
Y  0.2499  0.7500  0.4647  2 Cd 3.15, 8 Y 3.43-3.47
Y  0.7501  0.2500  0.5353  2 Cd 3.15, 8 Y 3.43-3.47
Y  0.9306  0.0000  0.2500  1 Cd 2.96
Y  0.2501  0.2500  0.4647  2 Cd 3.15, 8 Y 3.43-3.47
Y  0.2499  0.7500  0.0353  2 Cd 3.15, 8 Y 3.43-3.47
Y  0.7501  0.2500  0.9647  2 Cd 3.15, 8 Y 3.43-3.47
Y  0.7499  0.7500  0.5353  2 Cd 3.15, 8 Y 3.43-3.47
Y  0.7499  0.7500  0.9647  2 Cd 3.15, 8 Y 3.43-3.47
Y  0.2501  0.2500  0.0353  2 Cd 3.15, 8 Y 3.43-3.47
Cd  0.9969  0.5002  0.7500  5 Y 2.96-3.15
Cd  0.5031  0.0002  0.7500  5 Y 2.96-3.15
Cd  0.0031  0.4998  0.2500  5 Y 2.96-3.15
Cd  0.4969  0.9998  0.2500  5 Y 2.96-3.15

* electronic total energy: -1.055 Ha/atom
* space-group type: Imma (74)
* energy of formation from the pure elements: -0.209 eV per atom
* mass density: 5.7 Mg/m³
* energy relative to the lowest polymorph listed for this composition: 24 meV/atom



(2)
Density functional theory data (SCAN) for Y4Cd5 at its PBEsol-relaxed geometry.

a b c (Å): 6.3327 9.0226 9.0226
angles (deg): 120.00 90.00 90.00
Closest atoms and distances in Å follow each position.
Fractional positions:
Cd  0.5000  0.3333  0.6667  8 Cd 3.17-3.50, 6 Y 3.30
Cd  0.2500  0.6906  0.6906  7 Y 2.98-3.21
Cd  0.7500  0.0000  0.6906  7 Y 2.98-3.21
Cd  0.7500  0.3094  0.3094  7 Y 2.98-3.21
Cd  0.2500  0.0000  0.3094  7 Y 2.98-3.21
Cd  0.0000  0.3333  0.6667  8 Cd 3.17-3.50, 6 Y 3.30
Cd  0.5000  0.6667  0.3333  8 Cd 3.17-3.50, 6 Y 3.30
Cd  0.0000  0.6667  0.3333  8 Cd 3.17-3.50, 6 Y 3.30
Cd  0.7500  0.6906  0.0000  7 Y 2.98-3.21
Cd  0.2500  0.3094  0.0000  7 Y 2.98-3.21
Y  0.7500  0.6398  0.6398  9 Cd 2.98-3.30
Y  0.2500  0.3602  0.3602  9 Cd 2.98-3.30
Y  0.2500  0.6398  0.0000  9 Cd 2.98-3.30
Y  0.7500  0.0000  0.3602  9 Cd 2.98-3.30
Y  0.7500  0.3602  0.0000  9 Cd 2.98-3.30
Y  0.0000  0.0000  0.0000  2 Y 3.17, 6 Cd 3.21
Y  0.5000  0.0000  0.0000  2 Y 3.17, 6 Cd 3.21
Y  0.2500  0.0000  0.6398  9 Cd 2.98-3.30

* electronic total energy: -1.089 Ha/atom
* space-group type: P6_3/mcm (193)
* energy of formation from the pure elements: -0.364 eV per atom
* mass density: 6.8 Mg/m³



(3)
Density functional theory data (SCAN) for YZnCd2 at its PBEsol-relaxed geometry.

a b c (Å): 4.8681 4.8558 4.8668
angles (deg): 120.07 90.00 120.08
Closest atoms and distances in Å follow each position.
Fractional positions:
Cd  0.0000  0.0000  0.5000  4 Zn 2.98, 4 Cd 2.98
Cd  0.7500  0.5001  0.7500  4 Cd 2.98, 4 Y 2.98
Zn  0.2500  0.4999  0.2500  4 Cd 2.98, 4 Y 2.98
Y  0.5000  0.0000  0.0000  4 Cd 2.98, 4 Zn 2.98

* electronic total energy: -0.952 Ha/atom
* space-group type: I-4m2 (119)
* energy of formation from the pure elements: -0.347 eV per atom
* mass density: 7.8 Mg/m³



(4)
Density functional theory data (SCAN) for YZn2Cd at its PBEsol-relaxed geometry.

a b c (Å): 4.7447 4.7447 4.7486
angles (deg): 60.03 60.03 60.00
Closest atoms and distances in Å follow each position.
Fractional positions:
Y  0.7510  0.7510  0.7470  4 Zn 2.91, 4 Cd 2.91
Zn  0.0007  0.0007  0.9979  4 Zn 2.90-2.92, 4 Y 2.91
Zn  0.2513  0.2513  0.2461  4 Zn 2.90-2.92, 4 Cd 2.91
Cd  0.5012  0.5012  0.4963  4 Zn 2.91, 4 Y 2.91

* electronic total energy: -0.794 Ha/atom
* space-group type: R3m (160)
* energy of formation from the pure elements: -0.288 eV per atom
* mass density: 7.3 Mg/m³



(5)
Density functional theory data (SCAN) for YZnCd2 at its PBEsol-relaxed geometry.

a b c (Å): 4.2929 4.2929 4.6298
angles (deg): 90.00 90.00 90.00
Closest atoms and distances in Å follow each position.
Fractional positions:
Cd  0.5000  0.0000  0.0000  4 Cd 3.04, 4 Zn 3.16, 4 Y 3.16
Cd  0.0000  0.5000  0.0000  4 Cd 3.04, 4 Zn 3.16, 4 Y 3.16
Y  0.5000  0.5000  0.5000  4 Zn 3.04, 8 Cd 3.16
Zn  0.0000  0.0000  0.5000  4 Y 3.04, 8 Cd 3.16

* electronic total energy: -0.949 Ha/atom
* space-group type: P4/mmm (123)
* energy of formation from the pure elements: -0.285 eV per atom
* mass density: 7.4 Mg/m³



(6)
Density functional theory data (SCAN) for YZn2Cd at its PBEsol-relaxed geometry.

a b c (Å): 3.2761 3.2761 7.1732
angles (deg): 90.00 90.00 90.00
Closest atoms and distances in Å follow each position.
Fractional positions:
Cd  0.5000  0.5000  0.0000  8 Zn 2.84
Zn  0.0000  0.0000  0.7714  4 Cd 2.84, 4 Y 3.03
Zn  0.0000  0.0000  0.2286  4 Cd 2.84, 4 Y 3.03
Y  0.5000  0.5000  0.5000  8 Zn 3.03, 4 Y 3.28

* electronic total energy: -0.791 Ha/atom
* space-group type: P4/mmm (123)
* energy of formation from the pure elements: -0.206 eV per atom
* mass density: 7.2 Mg/m³



(7)
Density functional theory data (SCAN) for Y2ZnCd at its PBEsol-relaxed geometry.

a b c (Å): 3.5280 5.0155 6.0906
angles (deg): 114.31 106.84 90.00
Closest atoms and distances in Å follow each position.
Fractional positions:
Cd  0.2160  0.7160  0.4320  2 Zn 2.72
Zn  0.5188  0.5188  0.0375  2 Cd 2.72
Y  0.9926  0.9926  0.9852  4 Zn 3.08, 4 Cd 3.40-3.44, 4 Y 3.41-3.44
Y  0.7726  0.2726  0.5453  4 Cd 3.12, 2 Zn 3.13, 4 Y 3.41-3.44

* electronic total energy: -0.927 Ha/atom
* space-group type: Imm2 (44)
* energy of formation from the pure elements: -0.334 eV per atom
* mass density: 6.3 Mg/m³
* energy relative to the lowest polymorph listed for this composition: 128 meV/atom



(8)
Density functional theory data (SCAN) for YZnCd2 at its PBEsol-relaxed geometry.

a b c (Å): 3.1998 4.4773 6.0906
angles (deg): 90.00 105.23 90.00
Closest atoms and distances in Å follow each position.
Fractional positions:
Zn  0.3205  0.5000  0.6410  2 Cd 2.72, 4 Y 3.01
Cd  0.1893  0.0000  0.3787  2 Zn 2.72, 4 Cd 3.03
Cd  0.5813  0.5000  0.1626  6 Cd 3.03-3.20, 3 Zn 3.07-3.23, 4 Y 3.31
Y  0.9241  0.0000  0.8483  4 Zn 3.01, 7 Cd 3.12-3.31, 2 Y 3.20

* electronic total energy: -0.948 Ha/atom
* space-group type: Amm2 (38)
* energy of formation from the pure elements: -0.251 eV per atom
* mass density: 7.5 Mg/m³